[1]
# LaFeReP2

A relaxed structure of LaFeReP2 (GGA-PBE, the Alexandria database).

The volume comes out at 173 Å³/cell. The formation energy is -0.80 eV per atom. The value obtained for the density is 8.51 g cm⁻³.

The space group is I-4m2 (No. 119) and the conventional cell measures 3.991, 3.991 and 10.848 Å, with angles of 90.00, 90.00 and 90.00 degrees. The asymmetric unit holds La at (0.000, 0.000, 0.000), Fe at (0.000, 0.500, 0.250), Re at (0.000, 0.500, 0.750) and P at (0.000, 0.000, 0.356).



[2]
# LaFeP2Rh

A relaxed structure of LaFeP2Rh (GGA-PBE, the Alexandria database).

The volume comes out at 170 Å³/cell. The formation energy is -1.02 eV per atom. The value obtained for the density is 7.01 g cm⁻³.

The space group is I-4m2 (No. 119) and the conventional cell measures 3.876, 3.876 and 11.332 Å, with angles of 90.00, 90.00 and 90.00 degrees. The asymmetric unit holds La at (0.000, 0.000, 0.000), Fe at (0.000, 0.500, 0.250), P at (0.000, 0.000, 0.358) and Rh at (0.000, 0.500, 0.750).



[3]
# LaFe2SbP

A relaxed structure of LaFe2SbP (GGA-PBE, the Alexandria database).

The volume comes out at 123 Å³/cell. The uncorrected formation energy is 654 kJ/mol of formula units. The value obtained for the density is 5.44 g cm⁻³.

The space group is P4/mmm (No. 123) and the conventional cell measures 4.720, 4.720 and 5.522 Å, with angles of 90.00, 90.00 and 90.00 degrees. The asymmetric unit holds La at (0.000, 0.000, 0.000), Fe at (0.000, 0.500, 0.000), Sb at (0.500, 0.500, 0.500) and P at (0.000, 0.000, 0.500).



[4]
# LaScFe2P

A relaxed structure of LaScFe2P (GGA-PBE, the Alexandria database).

The volume comes out at 90 Å³/cell. The formation energy is 0.00 eV per atom. The value obtained for the density is 6.01 g cm⁻³.

The space group is P4/mmm (No. 123) and the conventional cell measures 4.323, 4.323 and 4.827 Å, with angles of 90.00, 90.00 and 90.00 degrees. The asymmetric unit holds La at (0.000, 0.000, 0.000), Sc at (0.500, 0.500, 0.000), Fe at (0.000, 0.500, 0.500) and P at (0.500, 0.500, 0.500).



[5]
# La2FeTcP

A relaxed structure of La2FeTcP (GGA-PBE, the Alexandria database).

The volume comes out at 130 Å³/cell. The formation energy is 0.19 eV per atom. The value obtained for the density is 5.90 g cm⁻³.

The space group is P4/mmm (No. 123) and the conventional cell measures 5.600, 5.600 and 4.150 Å, with angles of 90.00, 90.00 and 90.00 degrees. The asymmetric unit holds La at (0.000, 0.500, 0.000), Fe at (0.000, 0.000, 0.500), Tc at (0.500, 0.500, 0.500) and P at (0.000, 0.000, 0.000).



[6]
# LaFeTe2P

A relaxed structure of LaFeTe2P (GGA-PBE, the Alexandria database).

The volume comes out at 186 Å³/cell. The uncorrected formation energy is 539 kJ/mol of formula units. The value obtained for the density is 4.30 g cm⁻³.

The space group is P4/mmm (No. 123) and the conventional cell measures 6.083, 6.083 and 5.022 Å, with angles of 90.00, 90.00 and 90.00 degrees. The asymmetric unit holds La at (0.000, 0.000, 0.000), Fe at (0.000, 0.000, 0.500), Te at (0.000, 0.500, 0.000) and P at (0.500, 0.500, 0.500).



[7]
# LaTiFeP2

A relaxed structure of LaTiFeP2 (GGA-PBE, the Alexandria database).

The volume comes out at 179 Å³/cell. The formation energy is -1.05 eV per atom. The value obtained for the density is 5.64 g cm⁻³.

The space group is I-4m2 (No. 119) and the conventional cell measures 3.841, 3.841 and 12.148 Å, with angles of 90.00, 90.00 and 90.00 degrees. The asymmetric unit holds La at (0.000, 0.000, 0.000), Ti at (0.000, 0.500, 0.750), Fe at (0.000, 0.500, 0.250) and P at (0.000, 0.000, 0.369).



[8]
# LaY2FeP

A relaxed structure of LaY2FeP (GGA-PBE, the Alexandria database).

The volume comes out at 168 Å³/cell. The formation energy is 1.58 eV per atom. The value obtained for the density is 3.98 g cm⁻³.

The space group is P4/mmm (No. 123) and the conventional cell measures 5.709, 5.709 and 5.165 Å, with angles of 90.00, 90.00 and 90.00 degrees. The asymmetric unit holds La at (0.000, 0.000, 0.000), Y at (0.000, 0.500, 0.000), Fe at (0.500, 0.500, 0.500) and P at (0.000, 0.000, 0.500).



[9]
# LaPa3Fe

A relaxed structure of LaPa3Fe (GGA-PBE, the Alexandria database).

The volume comes out at 133 Å³/cell. The formation energy is 0.22 eV per atom. The value obtained for the density is 11.07 g cm⁻³.

The space group is Pm-3m (No. 221) and the conventional cell measures 5.107, 5.107 and 5.107 Å, with angles of 90.00, 90.00 and 90.00 degrees. The asymmetric unit holds La at (0.000, 0.000, 0.000), Pa at (0.000, 0.500, 0.500) and Fe at (0.500, 0.500, 0.500).



[10]
# LaPa2Fe9

A relaxed structure of LaPa2Fe9 (GGA-PBE, the Alexandria database).

The volume comes out at 530 Å³/cell. The formation energy is -0.02 eV per atom. The value obtained for the density is 10.37 g cm⁻³.

The space group is R-3m (No. 166, hexagonal axes) and the conventional cell measures 4.9276, 4.9276 and 25.2227 Å, with angles of 90.00, 90.00 and 120.00 degrees. The asymmetric unit holds La at (0.0000, 0.0000, 0.0000), Pa at (0.0000, 0.0000, 0.1418), Fe at (0.0000, 0.0000, 0.3327), Fe at (0.0000, 0.0000, 0.5000) and Fe at (0.0009, 0.5005, 0.0823).



[11]
# LaPaFe10

A relaxed structure of LaPaFe10 (GGA-PBE, the Alexandria database).

The volume comes out at 176 Å³/cell. The formation energy is 0.00 eV per atom. The value obtained for the density is 8.74 g cm⁻³.

The space group is Pmmm (No. 47) and the conventional cell measures 4.041, 5.013 and 8.706 Å, with angles of 90.00, 90.00 and 90.00 degrees. The asymmetric unit holds La at (0.000, 0.000, 0.000), Pa at (0.000, 0.500, 0.500), Fe at (0.000, 0.000, 0.340), Fe at (0.000, 0.500, 0.176), Fe at (0.500, 0.000, 0.500), Fe at (0.500, 0.253, 0.257) and Fe at (0.500, 0.500, 0.000).



[12]
# La3FePb

A relaxed structure of La3FePb (GGA-PBE, the Alexandria database).

The volume comes out at 478 Å³/cell. The formation energy is 0.36 eV per atom. The value obtained for the density is 4.73 g cm⁻³.

The space group is Amm2 (No. 38) and the conventional cell measures 3.869, 7.529 and 16.396 Å, with angles of 90.00, 90.00 and 90.00 degrees. The asymmetric unit holds La at (0.000, 0.000, 0.000), La at (0.500, 0.244, 0.824), Fe at (0.000, 0.000, 0.862) and Pb at (0.500, 0.000, 0.160).



- Among the records above, which one has the highest volume?
  LaPa2Fe9



- What is the formula in the fourth record?
  LaScFe2P